Compound: EuTiNbSnO6
Source: the Alexandria database
Functional: PBE-GGA
Structure: relaxed

Summary:
Its space-group type is F-43m. The calculation puts the total energy at -8.670 eV/atom. The formation energy from raw total energies is -2471 meV/atom. The size of the total moment comes out at 6.80 μB per cell.

POSCAR file:
```
EuTiNbSnO6
1.0
0.0000 4.0156 4.0156
4.0156 0.0000 4.0156
4.0156 4.0156 0.0000
Eu Ti Nb Sn O
1 1 1 1 6
direct
0.0000 0.0000 0.0000 Eu
0.7500 0.7500 0.7500 Ti
0.2500 0.2500 0.2500 Nb
0.5000 0.5000 0.5000 Sn
0.5027 0.5027 0.9973 O
0.5027 0.9973 0.5027 O
0.5027 0.9973 0.9973 O
0.9973 0.5027 0.5027 O
0.9973 0.5027 0.9973 O
0.9973 0.9973 0.5027 O
```